# 1
A plane-wave DFT calculation with GGA-PBE was carried out for an optimized crystal structure of NpScSi4.

CIF file:
```
data_NpScSi4
_chemical_formula_sum 'Np4 Sc4 Si16'
_cell_length_a 3.665
_cell_length_b 6.962
_cell_length_c 16.202
_cell_angle_alpha 90.00
_cell_angle_beta 90.00
_cell_angle_gamma 90.00
_space_group_name_H-M_alt 'P 1'
_space_group_IT_number 1
loop_
_space_group_symop_operation_xyz
'x,y,z'
loop_
_atom_site_label
_atom_site_type_symbol
_atom_site_fract_x
_atom_site_fract_y
_atom_site_fract_z
Np1 Np 0.000 0.750 0.315
Np2 Np 0.000 0.250 0.685
Np3 Np 0.000 0.250 0.185
Np4 Np 0.000 0.750 0.815
Sc1 Sc 0.000 0.750 0.062
Sc2 Sc 0.000 0.250 0.938
Sc3 Sc 0.000 0.250 0.438
Sc4 Sc 0.000 0.750 0.562
Si1 Si 0.500 0.915 0.187
Si2 Si 0.500 0.085 0.813
Si3 Si 0.500 0.415 0.313
Si4 Si 0.500 0.585 0.687
Si5 Si 0.500 0.081 0.062
Si6 Si 0.500 0.919 0.938
Si7 Si 0.500 0.581 0.438
Si8 Si 0.500 0.419 0.562
Si9 Si 0.500 0.918 0.438
Si10 Si 0.500 0.082 0.562
Si11 Si 0.500 0.418 0.062
Si12 Si 0.500 0.582 0.938
Si13 Si 0.500 0.084 0.313
Si14 Si 0.500 0.916 0.687
Si15 Si 0.500 0.584 0.187
Si16 Si 0.500 0.416 0.813
```

Values from the calculation:
The uncorrected formation energy comes out at -0.3581 eV per atom. The size of the total moment comes out at 13.8 μB per cell. The space group is Pmma (51). For the density of states at the Fermi level, the calculation gives 28.4 states/eV per cell.

=====

# 2
A plane-wave DFT calculation with GGA-PBE was carried out for an optimized crystal structure of Y2BiS4.

CIF file:
```
data_Y2BiS4
_chemical_formula_sum 'Y4 Bi2 S8'
_cell_length_a 8.214
_cell_length_b 8.214
_cell_length_c 8.207
_cell_angle_alpha 119.98
_cell_angle_beta 119.93
_cell_angle_gamma 90.07
_space_group_name_H-M_alt 'P 1'
_space_group_IT_number 1
loop_
_space_group_symop_operation_xyz
'x,y,z'
loop_
_atom_site_label
_atom_site_type_symbol
_atom_site_fract_x
_atom_site_fract_y
_atom_site_fract_z
Y1 Y 0.625 0.375 0.750
Y2 Y 0.625 0.875 0.250
Y3 Y 0.625 0.375 0.250
Y4 Y 0.125 0.375 0.750
Bi1 Bi 0.249 0.750 0.500
Bi2 Bi 0.001 0.000 0.000
S1 S 0.862 0.138 0.276
S2 S 0.388 0.612 0.224
S3 S 0.862 0.586 0.724
S4 S 0.862 0.138 0.724
S5 S 0.414 0.138 0.276
S6 S 0.388 0.164 0.776
S7 S 0.388 0.612 0.776
S8 S 0.836 0.612 0.224
```

Values from the calculation:
The uncorrected formation energy comes out at -1.4235 eV per atom. The size of the total moment comes out at 0.0 μB per cell. The space group is C2/m (12). For the density of states at the Fermi level, the calculation gives 6.9 states/eV per cell.

=====

# 3
A plane-wave DFT calculation with GGA-PBE was carried out for an optimized crystal structure of Nd8Th2Mg.

CIF file:
```
data_Nd8Th2Mg
_chemical_formula_sum 'Nd8 Th2 Mg1'
_cell_length_a 5.766
_cell_length_b 10.258
_cell_length_c 9.045
_cell_angle_alpha 45.26
_cell_angle_beta 89.98
_cell_angle_gamma 89.98
_space_group_name_H-M_alt 'P 1'
_space_group_IT_number 1
loop_
_space_group_symop_operation_xyz
'x,y,z'
loop_
_atom_site_label
_atom_site_type_symbol
_atom_site_fract_x
_atom_site_fract_y
_atom_site_fract_z
Nd1 Nd 0.500 0.735 0.226
Nd2 Nd 0.500 0.982 0.693
Nd3 Nd 0.000 0.717 0.903
Nd4 Nd 0.000 0.674 0.519
Nd5 Nd 0.000 0.324 0.479
Nd6 Nd 0.000 0.277 0.094
Nd7 Nd 0.500 0.012 0.311
Nd8 Nd 0.500 0.256 0.778
Th1 Th 0.500 0.419 0.226
Th2 Th 0.500 0.575 0.774
Mg1 Mg 0.000 0.995 0.999
```

Values from the calculation:
The size of the total moment comes out at 0.0 μB per cell. The space group is Pm (6). As for the formation energy: 0.15 eV per atom. For the density of states at the Fermi level, the calculation gives 16.3 states/eV per cell.

=====

# 4
A plane-wave DFT calculation with GGA-PBE was carried out for an optimized crystal structure of SrAc2Ho.

CIF file:
```
data_SrAc2Ho
_chemical_formula_sum 'Sr1 Ac2 Ho1'
_cell_length_a 5.344
_cell_length_b 5.623
_cell_length_c 5.623
_cell_angle_alpha 90.00
_cell_angle_beta 90.00
_cell_angle_gamma 90.00
_space_group_name_H-M_alt 'P 1'
_space_group_IT_number 1
loop_
_space_group_symop_operation_xyz
'x,y,z'
loop_
_atom_site_label
_atom_site_type_symbol
_atom_site_fract_x
_atom_site_fract_y
_atom_site_fract_z
Sr1 Sr 0.500 0.000 0.000
Ac1 Ac 0.000 0.000 0.500
Ac2 Ac 0.000 0.500 0.000
Ho1 Ho 0.500 0.500 0.500
```

Values from the calculation:
The size of the total moment comes out at 0.0 μB per cell. The space group is P4/mmm (123). As for the formation energy: 0.14 eV per atom. The value obtained for the energy above the most stable polymorph in this dataset is 76 meV per atom. For the density of states at the Fermi level, the calculation gives 7.4 states/eV per cell.